Entry from the Alexandria database: crystalline AcVPb2O8 at its relaxed geometry (PBE+U).

**DOS(E_F)**: 2.0 states/eV/cell
**DFT total energy**: -6.4622 eV per atom
**V**: 14.7 Å³/atom

a = 5.0656 Å, b = 6.9006 Å, c = 5.0664 Å
α = 90.00°, β = 92.43°, γ = 90.00°
Closest atoms and distances in Å follow each position.
Space group P2/m (No. 10)
Unique sites:
Ac (0.0000, 0.0000, 0.0000)  6 O 2.38-2.46
V (0.0000, 0.5000, 0.0000)  4 O 1.86
Pb (0.5000, 0.2652, 0.5000)  6 O 2.23-2.25
O (0.1847, 0.3049, 0.1814)  1 V 1.86
O (0.2856, 0.5000, 0.7107)  1 V 2.10, 2 Pb 2.25
O (0.3206, 0.0000, 0.6706)  2 Pb 2.23, 1 Ac 2.38